MnVFeRe: relaxed, GGA-PBE.

Properties
SG: No. 216
Magnetization: 2.95 μB/cell
DOS(E_F): 4.99 states/eV per cell
DFT formation energy: -0.07 eV per atom
E: -9.8662 eV/atom

Geometry as extended XYZ:
```
4
Lattice="4.156 0.000 0.000 2.078 3.600 0.000 2.078 1.200 3.394" Properties=species:S:1:pos:R:3 pbc="T T T"
Mn 0.000 0.000 0.000
Re 6.235 3.600 2.545
V 4.156 2.400 1.697
Fe 2.078 1.200 0.848
```